11
Lattice="4.212 0.000 0.000 1.910 5.899 0.000 0.520 2.062 6.209" Properties=species:S:1:pos:R:3 comment="Tm2NpO8 | Alexandria | GGA-PBE | relaxed" e_form_raw_ev_per_atom=-2.48 vol_a3_per_atom=14.02 crystal_system=triclinic total_energy_ev_per_atom=-8.078 dos_ef_per_ev_cell=3.04 sg="P-1 (2)" pbc="T T T"
Tm 1.048 1.101 0.678
Tm 5.593 6.860 5.531
Np 3.321 3.981 3.105
O 1.863 4.373 4.888
O 1.672 2.936 2.038
O 3.016 5.748 2.650
O 3.483 7.067 6.058
O 3.159 0.894 0.151
O 3.626 2.213 3.559
O 4.970 5.025 4.171
O 4.779 3.588 1.321